[1]
Computed, not measured: a relaxed structure of CaBeVC2 at the PBE level of DFT.

- Total moment: 0.0028 μB per atom
- Total energy: -3.35 eV/atom
- Density: 2.4 g/cm³
- DFT formation energy: 3.3041 eV per atom

Geometry as CIF:
```
data_CaBeVC2
_cell_length_a 4.335
_cell_length_b 4.335
_cell_length_c 4.606
_cell_angle_alpha 90.00
_cell_angle_beta 90.00
_cell_angle_gamma 90.00
_space_group_name_H-M_alt 'P 4/m m m'
_space_group_IT_number 123
_space_group_name_Hall '-P 4 2'
loop_
_atom_site_label
_atom_site_type_symbol
_atom_site_fract_x
_atom_site_fract_y
_atom_site_fract_z
Ca1 Ca 0.000 0.000 0.000
Be1 Be 0.500 0.500 0.500
V1 V 0.000 0.000 0.500
C1 C 0.000 0.500 0.000
```

---

[2]
Computed, not measured: a relaxed structure of CaZrBeC2 at the PBE level of DFT.

- Total moment: 0.0813 μB per atom
- Total energy: -4.60 eV/atom
- Density: 2.4 g/cm³
- DFT formation energy: 1.9422 eV per atom

Geometry as CIF:
```
data_CaZrBeC2
_cell_length_a 4.294
_cell_length_b 4.294
_cell_length_c 6.253
_cell_angle_alpha 90.00
_cell_angle_beta 90.00
_cell_angle_gamma 90.00
_space_group_name_H-M_alt 'P 4/m m m'
_space_group_IT_number 123
_space_group_name_Hall '-P 4 2'
loop_
_atom_site_label
_atom_site_type_symbol
_atom_site_fract_x
_atom_site_fract_y
_atom_site_fract_z
Ca1 Ca 0.000 0.000 0.000
Zr1 Zr 0.000 0.000 0.500
Be1 Be 0.500 0.500 0.000
C1 C 0.000 0.500 0.500
```